# ScSi2Hg PBE optimized geometry
data_ScSi2Hg
_symmetry_space_group_name_H-M 'P 4/m m m'
_symmetry_Int_Tables_number 123
_symmetry_space_group_name_Hall '-P 4 2'
_cell_length_a 3.648
_cell_length_b 3.648
_cell_length_c 5.981
_cell_angle_alpha 90.00
_cell_angle_beta 90.00
_cell_angle_gamma 90.00
loop_
_atom_site_label
_atom_site_type_symbol
_atom_site_fract_x
_atom_site_fract_y
_atom_site_fract_z
Sc1 Sc 0.000 0.000 0.000
Si1 Si 0.500 0.500 0.197
Hg1 Hg 0.000 0.000 0.500
# Volume, Å³ per atom: 19.90
# Total energy, eV per cell: -17.60
# Total moment, μB/f.u.: 0.00
# DOS at the Fermi energy, states/eV/atom: 0.655


# Pd2Pt3W PBE optimized geometry
data_Pd2Pt3W
_symmetry_space_group_name_H-M 'C m m m'
_symmetry_Int_Tables_number 65
_symmetry_space_group_name_Hall '-C 2 2'
_cell_length_a 3.966
_cell_length_b 11.764
_cell_length_c 3.976
_cell_angle_alpha 90.00
_cell_angle_beta 90.00
_cell_angle_gamma 90.00
loop_
_atom_site_label
_atom_site_type_symbol
_atom_site_fract_x
_atom_site_fract_y
_atom_site_fract_z
Pd1 Pd 0.000 0.160 0.000
Pt1 Pt 0.000 0.000 0.500
Pt2 Pt 0.000 0.337 0.500
W1 W 0.000 0.500 0.000
# Volume, Å³ per atom: 15.46
# Total energy, eV per cell: -85.36
# ΔH_f (0 K), eV/atom: -0.20
# E above lowest polymorph, kJ/mol of formula units: 0
# Total moment, μB/f.u.: 0.00
# DOS at the Fermi energy, states/eV/atom: 0.660